Entry from Alexandria: an optimized crystal structure of Ho2PbBr (GGA-PBE).

```
data_Ho2PbBr
_symmetry_space_group_name_H-M 'P 1'
_symmetry_Int_Tables_number 1
_cell_length_a 11.076
_cell_length_b 11.076
_cell_length_c 11.076
_cell_angle_alpha 18.44
_cell_angle_beta 18.44
_cell_angle_gamma 18.44
loop_
_symmetry_equiv_pos_as_xyz
'x,y,z'
loop_
_atom_site_label
_atom_site_type_symbol
_atom_site_fract_x
_atom_site_fract_y
_atom_site_fract_z
Ho1 Ho 0.095 0.095 0.095
Ho2 Ho 0.905 0.905 0.905
Pb1 Pb 0.000 0.000 0.000
Br1 Br 0.500 0.500 0.500
```

## Properties
* ΔE_f (raw): -40.5 kJ per mole of atoms
* spin magnetization: 0.00 μB per cell
* total DFT energy (no corrections): -16.22 eV per cell
* symmetry: No. 166
* DOS(E_F): 1.975 states/eV per cell